# CsPa2Te6

A geometry-optimized CsPa2Te6 structure (GGA-PBE, Alexandria via LeMat-Bulk).

POSCAR file:
```
CsPa2Te6
1.0
-0.9200 1.8719 -3.6853
-4.0557 -7.6086 -2.8523
-4.7986 6.3243 4.4104
Cs Pa Te
1 2 6
direct
0.5000 0.0000 0.0000
0.2620 0.6667 0.3333
0.7380 0.3333 0.6667
0.2373 0.5874 0.6792
0.2373 0.0918 0.4126
0.2373 0.3208 0.9082
0.7627 0.4126 0.3208
0.7627 0.9082 0.5874
0.7627 0.6792 0.0918
```

VASP energy (eV for the cell shown): -45.91
Space-group type: P-3 (147)



# CsK3Au2

A geometry-optimized CsK3Au2 structure (GGA-PBE, Alexandria via LeMat-Bulk).

POSCAR file:
```
CsK3Au2
1.0
4.7842 0.0000 0.0000
0.0000 8.3959 0.0000
0.0000 -4.1979 7.2710
Cs K Au
1 3 2
direct
0.0000 0.0000 0.0000
0.5000 0.0000 0.5000
0.5000 0.5000 0.5000
0.5000 0.5000 0.0000
0.0000 0.6667 0.3333
0.0000 0.3333 0.6667
```

DFT formation energy (kJ/mol of formula units): -107.2
Space-group type: P6/mmm (191)



# Mg2AsCl

A geometry-optimized Mg2AsCl structure (GGA-PBE, Alexandria via LeMat-Bulk).

POSCAR file:
```
Mg2AsCl
1.0
3.1514 0.0437 0.0000
-0.0441 3.1514 0.0000
0.0000 0.0000 9.6524
As Cl Mg
1 1 2
direct
0.0000 0.0000 0.4317
0.5000 0.5000 0.8375
0.0000 0.0000 0.9813
0.5000 0.5000 0.2495
```

VASP energy (eV for the cell shown): -11.61
Space-group type: P4mm (99)



# Mn2AsBr

A geometry-optimized Mn2AsBr structure (GGA-PBE, Alexandria via LeMat-Bulk).

POSCAR file:
```
Mn2AsBr
1.0
5.4934 -0.0944 0.1221
-0.3077 5.4856 -0.1221
-0.9156 -4.3089 3.2858
As Br Mn
1 1 2
direct
0.7500 0.2500 0.5000
0.2500 0.7500 0.5000
0.9773 0.9773 0.0000
0.5227 0.5227 0.0000
```

VASP energy (eV for the cell shown): -23.64
Space-group type: Immm (71)



# Ba3Ag4Pb2

A geometry-optimized Ba3Ag4Pb2 structure (GGA-PBE, Alexandria via LeMat-Bulk).

POSCAR file:
```
Ba3Ag4Pb2
1.0
-0.2174 -4.5914 1.9571
5.1762 3.5867 2.6129
-7.5597 2.7355 5.5778
Ba Ag Pb
3 4 2
direct
0.6693 0.3385 0.6694
0.0000 0.0000 0.0000
0.3307 0.6615 0.3306
0.7205 0.4411 0.0505
0.2795 0.5589 0.9495
0.9446 0.8892 0.6074
0.0554 0.1108 0.3926
0.6063 0.2127 0.2782
0.3937 0.7873 0.7218
```

DFT formation energy (kJ/mol of formula units): -268.2
Space-group type: C2/m (12)



# Ce2PaZn6

A geometry-optimized Ce2PaZn6 structure (GGA-PBE, Alexandria via LeMat-Bulk).

POSCAR file:
```
Ce2PaZn6
1.0
3.1565 0.0000 0.0000
0.0000 7.0105 -4.0475
0.0000 0.0000 8.0950
Ce Pa Zn
2 1 6
direct
0.0000 0.3333 0.6667
0.0000 0.6667 0.3333
0.0000 0.0000 0.0000
0.5000 0.3304 0.3304
0.5000 0.6696 0.6696
0.5000 0.0000 0.6696
0.5000 0.6696 0.0000
0.5000 0.3304 0.0000
0.5000 0.0000 0.3304
```

DFT formation energy (kJ/mol of formula units): -188.6
Space-group type: P6/mmm (191)



# HgAuSe2

A geometry-optimized HgAuSe2 structure (GGA-PBE, Alexandria via LeMat-Bulk).

POSCAR file:
```
HgAuSe2
1.0
4.2850 0.0001 -0.0013
0.0005 6.1135 -0.0002
0.0014 0.0000 8.6388
Hg Au Se
2 2 4
direct
0.2011 0.8747 0.7399
0.7006 0.3747 0.4761
0.2010 0.8411 0.2366
0.7012 0.3411 0.9794
0.7010 0.6185 0.2142
0.7011 0.5991 0.7444
0.2007 0.0991 0.4716
0.2012 0.1185 0.0018
```

VASP energy (eV for the cell shown): -21.39
Space-group type: Pmn2_1 (31)



# Tm5Ni2Au

A geometry-optimized Tm5Ni2Au structure (GGA-PBE, Alexandria via LeMat-Bulk).

POSCAR file:
```
Tm5Ni2Au
1.0
6.7599 0.0000 -3.1910
-1.5063 6.5899 -3.1910
-0.1971 -0.2472 8.3381
Tm Ni Au
10 4 2
direct
0.5239 0.6990 0.7229
0.8010 0.9761 0.2771
0.0000 0.0000 0.0000
0.5000 0.5000 0.0000
0.1990 0.0239 0.7229
0.6990 0.1990 0.7229
0.0239 0.5239 0.7229
0.3010 0.8010 0.2771
0.9761 0.4761 0.2771
0.4761 0.3010 0.2771
0.1274 0.3726 0.0000
0.6274 0.1274 0.0000
0.3726 0.8726 0.0000
0.8726 0.6274 0.0000
0.7500 0.7500 0.5000
0.2500 0.2500 0.5000
```

DFT formation energy (kJ/mol of formula units): -385.6
Space-group type: I4/mcm (140)



# NbHF4

A geometry-optimized NbHF4 structure (GGA-PBE, Alexandria via LeMat-Bulk).

POSCAR file:
```
NbHF4
1.0
4.3557 -0.1290 -1.5029
1.3529 4.1422 -1.5029
-1.4264 -1.0028 8.5942
Nb H F
2 2 8
direct
0.1536 0.8464 0.2500
0.8464 0.1536 0.7500
0.5000 0.0000 0.5000
0.0000 0.5000 0.0000
0.4621 0.2369 0.8020
0.0496 0.8136 0.5830
0.9504 0.1864 0.4170
0.2369 0.4621 0.3020
0.7631 0.5379 0.6980
0.1864 0.9504 0.9170
0.8136 0.0496 0.0830
0.5379 0.7631 0.1980
```

VASP energy (eV for the cell shown): -68.36
Space-group type: C2/c (15)



# Ce3Mg7Ir4

A geometry-optimized Ce3Mg7Ir4 structure (GGA-PBE, Alexandria via LeMat-Bulk).

POSCAR file:
```
Ce3Mg7Ir4
1.0
-2.1671 3.3616 -0.4627
-6.3893 -0.9683 5.3733
2.3269 4.9696 7.6896
Ce Mg Ir
3 7 4
direct
0.2941 0.1854 0.2264
0.7059 0.8146 0.7736
0.0000 0.5000 0.5000
0.3236 0.8509 0.5019
0.4864 0.2361 0.7911
0.8284 0.4093 0.9339
0.6764 0.1491 0.4981
0.1716 0.5907 0.0661
0.0000 0.0000 0.0000
0.5136 0.7639 0.2089
0.6604 0.4236 0.2557
0.3396 0.5764 0.7443
0.8842 0.9330 0.2986
0.1158 0.0670 0.7014
```

DFT formation energy (kJ/mol of formula units): -608.0
Space-group type: C2/m (12)



# BaPaTe4

A geometry-optimized BaPaTe4 structure (GGA-PBE, Alexandria via LeMat-Bulk).

POSCAR file:
```
BaPaTe4
1.0
-3.2344 -5.6384 -2.9410
6.2912 -3.3238 -0.5467
-1.1380 -3.4467 7.8599
Ba Pa Te
2 2 8
direct
0.0000 0.0000 0.5000
0.5000 0.5000 0.5000
0.5000 0.5000 0.0000
0.0000 0.0000 0.0000
0.2926 0.7925 0.7882
0.7926 0.7075 0.7882
0.7074 0.2075 0.7882
0.7926 0.7075 0.2118
0.2074 0.2925 0.7882
0.2926 0.7925 0.2118
0.2074 0.2925 0.2118
0.7074 0.2075 0.2118
```

VASP energy (eV for the cell shown): -58.85
Space-group type: P4/mbm (127)



# Sc6Al5Rh

A geometry-optimized Sc6Al5Rh structure (GGA-PBE, Alexandria via LeMat-Bulk).

POSCAR file:
```
Sc6Al5Rh
1.0
-3.4496 -0.3829 3.2722
-4.3183 -1.7188 -4.7536
-0.0460 -7.0755 2.6002
Sc Rh Al
6 1 5
direct
0.8371 0.7545 0.3259
0.8371 0.2455 0.3259
0.5000 0.2458 0.0000
0.5000 0.7542 0.0000
0.1629 0.7545 0.6741
0.1629 0.2455 0.6741
0.0000 0.0000 0.0000
0.6701 0.5000 0.6597
0.3327 0.0000 0.3346
0.0000 0.5000 0.0000
0.6673 0.0000 0.6654
0.3299 0.5000 0.3403
```

DFT formation energy (kJ/mol of formula units): -618.0
Space-group type: Cmmm (65)



# Eu2HoIn

A geometry-optimized Eu2HoIn structure (GGA-PBE, Alexandria via LeMat-Bulk).

POSCAR file:
```
Eu2HoIn
1.0
-0.5403 -4.9051 -2.7562
4.5744 -2.6009 -2.0636
1.8373 -4.7910 2.3704
Eu Ho In
2 1 1
direct
0.2500 0.2500 0.2500
0.7500 0.7500 0.7500
0.0000 0.0000 0.0000
0.5000 0.5000 0.5000
```

DFT formation energy (kJ/mol of formula units): -40.1
Space-group type: Fm-3m (225)



# Mg8TlBi2

A geometry-optimized Mg8TlBi2 structure (GGA-PBE, Alexandria via LeMat-Bulk).

POSCAR file:
```
Mg8TlBi2
1.0
0.5199 2.5865 -4.3358
7.2785 -4.0425 -1.5387
-8.3021 -3.4967 -0.1109
Mg Tl Bi
8 1 2
direct
0.6235 0.8749 0.2470
0.2972 0.6184 0.5945
0.1993 0.1616 0.3986
0.0452 0.2512 0.0905
0.8007 0.8384 0.6014
0.7028 0.3816 0.4055
0.3765 0.1251 0.7530
0.9548 0.7488 0.9095
0.5000 0.0000 0.0000
0.1455 0.7099 0.2909
0.8545 0.2901 0.7091
```

DFT formation energy (kJ/mol of formula units): -38.1
Space-group type: C2/m (12)



# Nb2VGe

A geometry-optimized Nb2VGe structure (GGA-PBE, Alexandria via LeMat-Bulk).

POSCAR file:
```
Nb2VGe
1.0
-1.8586 -1.8609 -1.6334
-2.0906 -1.7621 1.4524
-6.8479 4.8523 -0.6702
Nb Ge V
2 1 1
direct
0.2525 0.2525 0.2425
0.7475 0.7475 0.7575
0.5000 0.5000 0.5000
0.0000 0.0000 0.0000
```

DFT formation energy (kJ/mol of formula units): 42.2
Space-group type: R-3m (166)



# Zn2Te2As

A geometry-optimized Zn2Te2As structure (GGA-PBE, Alexandria via LeMat-Bulk).

POSCAR file:
```
Zn2Te2As
1.0
-1.9786 1.9786 7.5381
1.9786 -1.9786 7.5381
1.9786 1.9786 -7.5381
Zn Te As
2 2 1
direct
0.2500 0.7500 0.5000
0.7500 0.2500 0.5000
0.6200 0.6200 0.0000
0.3800 0.3800 0.0000
0.0000 0.0000 0.0000
```

VASP energy (eV for the cell shown): -12.43
Space-group type: I4/mmm (139)



# Ca2Sb5Pd3

A geometry-optimized Ca2Sb5Pd3 structure (GGA-PBE, Alexandria via LeMat-Bulk).

POSCAR file:
```
Ca2Sb5Pd3
1.0
-4.6257 5.3341 -0.8221
-5.9855 -1.4858 -6.6919
-7.9900 -1.5663 4.0648
Ca Sb Pd
4 10 6
direct
0.1454 0.5743 0.1348
0.6454 0.1348 0.5743
0.8546 0.4257 0.8652
0.3546 0.8652 0.4257
0.4153 0.2489 0.9204
0.9153 0.9204 0.2489
0.5847 0.7511 0.0796
0.0847 0.0796 0.7511
0.4719 0.7781 0.7781
0.5281 0.2219 0.2219
0.7500 0.5000 0.5000
0.2500 0.5000 0.5000
0.0281 0.2219 0.2219
0.9719 0.7781 0.7781
0.3518 0.5425 0.7539
0.8518 0.7539 0.5425
0.6482 0.4575 0.2461
0.1482 0.2461 0.4575
0.2500 0.0000 0.0000
0.7500 0.0000 0.0000
```

VASP energy (eV for the cell shown): -91.67
Space-group type: Ibam (72)



# In2W

A geometry-optimized In2W structure (GGA-PBE, Alexandria via LeMat-Bulk).

POSCAR file:
```
In2W
1.0
2.9099 0.0000 0.0096
0.0000 7.0899 0.0000
-0.0496 0.0000 12.7895
In W
8 4
direct
0.0000 0.2500 0.2500
0.0000 0.2500 0.7500
0.0000 0.7500 0.7500
0.0000 0.7500 0.2500
0.0000 0.6960 0.0000
0.0000 0.3040 0.0000
0.0000 0.1960 0.5000
0.0000 0.8040 0.5000
0.4997 0.0000 0.1086
0.5003 0.0000 0.8914
0.4997 0.5000 0.6086
0.5003 0.5000 0.3914
```

DFT formation energy (kJ/mol of formula units): 108.6
Space-group type: Cmmm (65)



# LiEr2Tm

A geometry-optimized LiEr2Tm structure (GGA-PBE, Alexandria via LeMat-Bulk).

POSCAR file:
```
LiEr2Tm
1.0
3.7519 0.0000 0.0000
0.0000 5.4672 0.0000
0.0000 0.0000 5.4672
Tm Li Er
1 1 2
direct
0.5000 0.5000 0.5000
0.5000 0.0000 0.0000
0.0000 0.0000 0.5000
0.0000 0.5000 0.0000
```

DFT formation energy (kJ/mol of formula units): 58.7
Space-group type: P4/mmm (123)



# As2H2Au

A geometry-optimized As2H2Au structure (GGA-PBE, Alexandria via LeMat-Bulk).

POSCAR file:
```
As2H2Au
1.0
-4.8583 -4.1189 2.2995
4.4955 -5.0429 0.4650
0.6376 0.8297 2.8333
H As Au
4 4 2
direct
0.1049 0.6049 0.5000
0.6049 0.8951 0.5000
0.8951 0.3951 0.5000
0.3951 0.1049 0.5000
0.3725 0.8725 0.0000
0.8725 0.6275 0.0000
0.6275 0.1275 0.0000
0.1275 0.3725 0.0000
0.0000 0.0000 0.0000
0.5000 0.5000 0.0000
```

VASP energy (eV for the cell shown): -32.43
Space-group type: P4/mbm (127)



# Ca6Bi3Sb

A geometry-optimized Ca6Bi3Sb structure (GGA-PBE, Alexandria via LeMat-Bulk).

POSCAR file:
```
Ca6Bi3Sb
1.0
8.1360 0.0558 0.0394
3.9458 7.2386 0.2224
3.9458 2.6287 6.7481
Ca Bi Sb
6 3 1
direct
0.3416 0.1611 0.6600
0.6584 0.3400 0.8389
0.6584 0.8389 0.3400
0.3416 0.6600 0.1611
0.1199 0.7465 0.7465
0.8801 0.2535 0.2535
0.2781 0.2486 0.2486
0.7219 0.7514 0.7514
0.0000 0.0000 0.0000
0.5000 0.5000 0.5000
```

VASP energy (eV for the cell shown): -35.38
Space-group type: C2/m (12)



# Pm3AgSn2

A geometry-optimized Pm3AgSn2 structure (GGA-PBE, Alexandria via LeMat-Bulk).

POSCAR file:
```
Pm3AgSn2
1.0
4.6974 0.0000 0.0000
0.0000 11.7378 0.0000
0.0000 0.0000 12.5292
Pm Ag Sn
12 4 8
direct
0.2500 0.3681 0.0444
0.7500 0.6319 0.9556
0.7500 0.8681 0.4556
0.2500 0.1319 0.5444
0.2500 0.6926 0.2199
0.7500 0.3074 0.7801
0.7500 0.1926 0.2801
0.2500 0.8074 0.7199
0.2500 0.4280 0.3610
0.7500 0.5720 0.6390
0.7500 0.9280 0.1390
0.2500 0.0720 0.8610
0.2500 0.1114 0.1221
0.7500 0.8886 0.8779
0.7500 0.6114 0.3779
0.2500 0.3886 0.6221
0.2500 0.6782 0.4937
0.7500 0.3218 0.5063
0.7500 0.1782 0.0063
0.2500 0.8218 0.9937
0.2500 0.9863 0.3197
0.7500 0.0137 0.6803
0.7500 0.4863 0.1803
0.2500 0.5137 0.8197
```

DFT formation energy (kJ/mol of formula units): -355.4
Space-group type: Pnma (62)